AcLuPu (PBE-GGA, optimized geometry); symmetry = No. 216; calculated formation energy = 0.906 eV/atom; DFT total energy = -0.491 Ry per atom
1.0
0.0000 3.8551 3.8551
3.8551 0.0000 3.8551
3.8551 3.8551 0.0000
Ac Lu Pu
1 1 1
Direct
0.0000 0.0000 0.0000
0.7500 0.7500 0.7500
0.2500 0.2500 0.2500